## CsHgIr2Pb (GGA-PBE)

Data for crystalline CsHgIr2Pb at its relaxed geometry.

Cell lengths 5.1294, 5.1294, 5.9759 Å; angles 90.00, 90.00, 90.00 degrees
With the nearest neighbours (Å) after each atom.
Space group P4/mmm (No. 123)
One atom of each set of equivalent atoms:
1 Cs 0.0000 0.0000 0.0000 (multiplicity 1)  4 Ir 2.56
2 Hg 0.0000 0.0000 0.5000 (multiplicity 1)  2 Cs 2.99
3 Ir 0.0000 0.5000 0.0000 (multiplicity 2)  2 Cs 2.56
4 Pb 0.5000 0.5000 0.5000 (multiplicity 1)  4 Hg 3.63, 8 Ir 3.94

Calculated values
Fermi-level density of states: 5.919 states/eV per cell
ΔE_f: 2097 meV per atom
VASP energy: -2.42 eV per atom
Total magnetic moment: 0.00 μB per formula unit

=====

## SiHgIr2 (GGA-PBE)

Data for crystalline SiHgIr2 at its relaxed geometry.

Cell lengths 2.8508, 4.9913, 8.9759 Å; angles 90.00, 90.00, 90.00 degrees
With the nearest neighbours (Å) after each atom.
Space group Immm (No. 71)
One atom of each set of equivalent atoms:
1 Si 0.0000 0.0000 0.0000 (multiplicity 2)  4 Ir 2.39
2 Hg 0.0000 0.0000 0.5000 (multiplicity 2)  2 Hg 2.85, 4 Si 2.87, 8 Ir 2.93-3.15
3 Ir 0.0000 0.5000 0.2858 (multiplicity 4)  2 Si 2.39

Calculated values
ΔE_f (raw): 0.11 eV per atom
Fermi-level density of states: 4.600 states/eV per cell
VASP energy: -5.75 eV per atom
Total magnetic moment: 0.00 μB per formula unit

=====

## Tm6CuSn3 (GGA-PBE)

Data for crystalline Tm6CuSn3 at its relaxed geometry.

Cell lengths 10.8608, 14.5231, 6.9319 Å; angles 90.00, 90.00, 90.00 degrees
With the nearest neighbours (Å) after each atom.
Space group Cmc2_1 (No. 36)
One atom of each set of equivalent atoms:
1 Tm 0.0000 0.0446 0.0000 (multiplicity 4)  1 Cu 2.72
2 Tm 0.0000 0.2887 0.0421 (multiplicity 4)  1 Cu 3.19, 2 Sn 3.54, 1 Tm 3.56
3 Tm 0.1741 0.2909 0.5852 (multiplicity 8)  1 Cu 2.83, 2 Sn 2.95-2.97
4 Tm 0.2263 0.4471 0.2132 (multiplicity 8)  4 Sn 3.07-3.18, 1 Cu 3.32
5 Cu 0.0000 0.1532 0.6808 (multiplicity 4)  3 Tm 2.72-2.83, 2 Sn 2.84
6 Sn 0.0000 0.4617 0.5019 (multiplicity 4)  6 Tm 3.15-3.18
7 Sn 0.1428 0.1237 0.3435 (multiplicity 8)  1 Cu 2.84, 6 Tm 2.95-3.11, 1 Sn 3.10

Calculated values
Fermi-level density of states: 35.132 states/eV per cell
ΔE_f: -337 meV per atom
VASP energy: -4.63 eV per atom
Total magnetic moment: 0.00 μB per formula unit

=====

## RbLi2Sb (GGA-PBE)

Data for crystalline RbLi2Sb at its relaxed geometry.

Cell lengths 8.3875, 4.8406, 7.0384 Å; angles 90.00, 112.75, 90.00 degrees
With the nearest neighbours (Å) after each atom.
Space group Cm (No. 8)
One atom of each set of equivalent atoms:
1 Rb 0.0000 0.0000 0.0000 (multiplicity 2)  1 Li 3.29
2 Li 0.1646 0.0000 0.5075 (multiplicity 2)  3 Li 2.82-2.83, 3 Sb 2.84
3 Li 0.4775 0.0000 0.4444 (multiplicity 2)  3 Sb 2.80, 3 Li 2.82-2.83
4 Sb 0.3055 0.5000 0.4283 (multiplicity 2)  6 Li 2.80-2.84

Calculated values
ΔE_f (raw): -0.53 eV per atom
Fermi-level density of states: 0.257 states/eV per cell
VASP energy: -2.76 eV per atom
Total magnetic moment: 0.00 μB per formula unit

=====

## PmSmY2Se4 (GGA-PBE)

Data for crystalline PmSmY2Se4 at its relaxed geometry.

Cell lengths 7.1459, 4.0811, 7.2477 Å; angles 90.00, 108.82, 90.00 degrees
With the nearest neighbours (Å) after each atom.
Space group P2/m (No. 10)
One atom of each set of equivalent atoms:
1 Pm 0.0000 0.0000 0.0000 (multiplicity 1)  6 Se 2.97
2 Sm 0.5000 0.5000 0.0000 (multiplicity 1)  6 Se 2.96
3 Y 0.0000 0.5000 0.5000 (multiplicity 1)  6 Se 2.89
4 Y 0.5000 0.0000 0.5000 (multiplicity 1)  6 Se 2.88-2.89
5 Se 0.2478 0.0000 0.7410 (multiplicity 2)  3 Y 2.89, 2 Sm 2.96, 1 Pm 2.97
6 Se 0.2542 0.5000 0.2597 (multiplicity 2)  3 Y 2.88-2.89, 1 Sm 2.96, 2 Pm 2.97

Calculated values
ΔE_f (raw): -1.80 eV per atom
Fermi-level density of states: 4.656 states/eV per cell
VASP energy: -6.34 eV per atom
Total magnetic moment: 0.00 μB per formula unit

=====

## Cr5Se8 (GGA-PBE)

Data for crystalline Cr5Se8 at its relaxed geometry.

Cell lengths 11.6775, 7.2586, 8.4832 Å; angles 90.00, 132.25, 90.00 degrees
With the nearest neighbours (Å) after each atom.
Space group C2/m (No. 12)
One atom of each set of equivalent atoms:
1 Cr 0.0000 0.0000 0.0000 (multiplicity 2)  6 Se 2.55-2.58
2 Cr 0.0000 0.2728 0.5000 (multiplicity 4)  6 Se 2.47-2.59
3 Cr 0.2296 0.5000 0.9875 (multiplicity 4)  6 Se 2.46-2.58
4 Se 0.0213 0.0000 0.3233 (multiplicity 4)  4 Cr 2.58-2.59
5 Se 0.0475 0.5000 0.3333 (multiplicity 4)  3 Cr 2.46-2.47
6 Se 0.2125 0.2425 0.1702 (multiplicity 8)  4 Cr 2.52-2.56

Calculated values
ΔE_f (raw): -0.53 eV per atom
Fermi-level density of states: 11.151 states/eV per cell
VASP energy: -6.37 eV per atom
Total magnetic moment: 14.02 μB per formula unit

=====

## Nd2DyAl9 (GGA-PBE)

Data for crystalline Nd2DyAl9 at its relaxed geometry.

Cell lengths 5.6474, 5.6474, 26.5008 Å; angles 90.00, 90.00, 120.00 degrees
With the nearest neighbours (Å) after each atom.
Space group R-3m (No. 166, hexagonal axes)
One atom of each set of equivalent atoms:
1 Nd 0.0000 0.0000 0.1417 (multiplicity 6)  12 Al 3.23-3.33, 3 Nd 3.52
2 Dy 0.0000 0.0000 0.0000 (multiplicity 3)  18 Al 3.26-3.57
3 Al 0.0000 0.0000 0.3352 (multiplicity 6)  6 Al 2.70-2.74
4 Al 0.0000 0.0000 0.5000 (multiplicity 3)  6 Al 2.79
5 Al 0.0071 0.5036 0.9178 (multiplicity 18)  7 Al 2.70-2.88

Calculated values
Fermi-level density of states: 16.824 states/eV per cell
ΔE_f: -353 meV per atom
VASP energy: -4.34 eV per atom
Total magnetic moment: 0.00 μB per formula unit

=====

## CsPd2F6 (GGA-PBE)

Data for crystalline CsPd2F6 at its relaxed geometry.

Cell lengths 5.7636, 5.7636, 6.4056 Å; angles 90.00, 90.00, 120.00 degrees
With the nearest neighbours (Å) after each atom.
Space group P-31m (No. 162)
One atom of each set of equivalent atoms:
1 Cs 0.0000 0.0000 0.0000 (multiplicity 1)  6 F 2.99
2 Pd 0.3333 0.6667 0.5000 (multiplicity 2)  6 F 2.13
3 F 0.0000 0.3708 0.6733 (multiplicity 6)  2 Pd 2.13

Calculated values
ΔE_f (raw): -1.58 eV per atom
Fermi-level density of states: 4.327 states/eV per cell
VASP energy: -4.07 eV per atom
Total magnetic moment: 3.01 μB per formula unit

=====

## NaSm2PaBi4 (GGA-PBE)

Data for crystalline NaSm2PaBi4 at its relaxed geometry.

Cell lengths 7.8034, 4.5445, 7.8835 Å; angles 90.00, 108.63, 90.00 degrees
With the nearest neighbours (Å) after each atom.
Space group P2/m (No. 10)
One atom of each set of equivalent atoms:
1 Na 0.0000 0.0000 0.0000 (multiplicity 1)  6 Bi 3.17-3.24
2 Sm 0.0000 0.5000 0.5000 (multiplicity 1)  6 Bi 3.27
3 Sm 0.5000 0.0000 0.5000 (multiplicity 1)  6 Bi 3.20-3.21
4 Pa 0.5000 0.5000 0.0000 (multiplicity 1)  6 Bi 3.10-3.18
5 Bi 0.2559 0.0000 0.7582 (multiplicity 2)  1 Na 3.17, 2 Pa 3.18, 3 Sm 3.20-3.27
6 Bi 0.2594 0.5000 0.2459 (multiplicity 2)  1 Pa 3.10, 3 Sm 3.21-3.27, 2 Na 3.24

Calculated values
Fermi-level density of states: 3.703 states/eV per cell
ΔE_f: -507 meV per atom
VASP energy: -4.98 eV per atom
Total magnetic moment: 0.09 μB per formula unit

=====

## ZnCd2Co (GGA-PBE)

Data for crystalline ZnCd2Co at its relaxed geometry.

Cell lengths 9.4072, 2.8671, 5.1010 Å; angles 90.00, 100.49, 90.00 degrees
With the nearest neighbours (Å) after each atom.
Space group C2/m (No. 12)
One atom of each set of equivalent atoms:
1 Zn 0.0000 0.0000 0.0000 (multiplicity 2)  6 Cd 2.84-2.91, 2 Zn 2.87, 4 Co 2.93
2 Cd 0.2435 0.0000 0.7424 (multiplicity 4)  3 Co 2.79-2.90, 3 Zn 2.84-2.91, 6 Cd 2.87-2.98
3 Co 0.0000 0.5000 0.5000 (multiplicity 2)  6 Cd 2.79-2.90, 2 Co 2.87, 4 Zn 2.93

Calculated values
Fermi-level density of states: 6.406 states/eV per cell
ΔE_f: 269 meV per atom
VASP energy: -2.28 eV per atom
Total magnetic moment: 1.30 μB per formula unit

=====

## TaCoP2 (GGA-PBE)

Data for crystalline TaCoP2 at its relaxed geometry.

Cell lengths 3.1395, 3.4705, 5.0825 Å; angles 90.00, 90.00, 90.00 degrees
With the nearest neighbours (Å) after each atom.
Space group Pmmm (No. 47)
One atom of each set of equivalent atoms:
1 Ta 0.0000 0.0000 0.0000 (multiplicity 1)  8 P 2.65
2 Co 0.5000 0.0000 0.5000 (multiplicity 1)  4 P 2.17
3 P 0.5000 0.5000 0.2435 (multiplicity 2)  2 Co 2.17

Calculated values
Fermi-level density of states: 2.782 states/eV per cell
ΔE_f: -409 meV per atom
VASP energy: -7.85 eV per atom
Total magnetic moment: 0.00 μB per formula unit

=====

## Li5Sm2Ag5 (GGA-PBE)

Data for crystalline Li5Sm2Ag5 at its relaxed geometry.

Cell lengths 4.6588, 5.3434, 9.6093 Å; angles 90.00, 90.00, 90.00 degrees
With the nearest neighbours (Å) after each atom.
Space group Pmmm (No. 47)
One atom of each set of equivalent atoms:
1 Li 0.0000 0.0000 0.0000 (multiplicity 1)  4 Li 2.79, 4 Ag 2.84
2 Li 0.0000 0.2518 0.2540 (multiplicity 4)  3 Li 2.65-2.79, 5 Ag 2.71-2.81
3 Sm 0.5000 0.0000 0.5000 (multiplicity 1)  10 Ag 3.17-3.54
4 Sm 0.5000 0.5000 0.0000 (multiplicity 1)  6 Ag 3.11-3.12
5 Ag 0.0000 0.5000 0.5000 (multiplicity 1)  4 Li 2.71, 4 Ag 2.88
6 Ag 0.5000 0.0000 0.1685 (multiplicity 2)  6 Li 2.81-2.84, 2 Ag 3.06, 2 Sm 3.12
7 Ag 0.5000 0.5000 0.3233 (multiplicity 2)  4 Li 2.76, 4 Ag 2.88-3.06

Calculated values
Fermi-level density of states: 6.275 states/eV per cell
ΔE_f: -198 meV per atom
VASP energy: -2.97 eV per atom
Total magnetic moment: 0.00 μB per formula unit

=====

What did the fifth record say?
## PmSmY2Se4 (GGA-PBE)

Data for crystalline PmSmY2Se4 at its relaxed geometry.

Cell lengths 7.1459, 4.0811, 7.2477 Å; angles 90.00, 108.82, 90.00 degrees
With the nearest neighbours (Å) after each atom.
Space group P2/m (No. 10)
One atom of each set of equivalent atoms:
1 Pm 0.0000 0.0000 0.0000 (multiplicity 1)  6 Se 2.97
2 Sm 0.5000 0.5000 0.0000 (multiplicity 1)  6 Se 2.96
3 Y 0.0000 0.5000 0.5000 (multiplicity 1)  6 Se 2.89
4 Y 0.5000 0.0000 0.5000 (multiplicity 1)  6 Se 2.88-2.89
5 Se 0.2478 0.0000 0.7410 (multiplicity 2)  3 Y 2.89, 2 Sm 2.96, 1 Pm 2.97
6 Se 0.2542 0.5000 0.2597 (multiplicity 2)  3 Y 2.88-2.89, 1 Sm 2.96, 2 Pm 2.97

Calculated values
ΔE_f (raw): -1.80 eV per atom
Fermi-level density of states: 4.656 states/eV per cell
VASP energy: -6.34 eV per atom
Total magnetic moment: 0.00 μB per formula unit